Here is a geometry-optimized Li2TmLu structure from the Alexandria database. Energies are from PBE.

Cell and atoms, written as POSCAR:
```
Li2TmLu
1.0
-3.0395 0.1461 -4.1561
-1.3323 -4.3742 -2.3715
-4.8482 -1.7152 0.2933
Lu Tm Li
1 1 2
direct
0.0000 0.0000 0.0000
0.5000 0.5000 0.5000
0.2500 0.2500 0.2500
0.7500 0.7500 0.7500
```

Calculated values
Raw total energy in eV per atom: -3.041
Offset from the most stable computed form in eV per atom: 0.002